A geometry-optimized MnBeCl2 structure. Source: the Alexandria database, functional PBE-GGA.

Results
DOS(E_F) (states/eV per cell): 2.33
VASP energy (eV per atom): -4.31
Energy above the most stable polymorph in this dataset (eV per atom): 0.308
Volume (Å³/atom): 17.56
Energy relative to the elements, uncorrected (eV/atom): -0.164

```
data_MnBeCl2
_chemical_formula_sum 'Mn1 Be1 Cl2'
_symmetry_space_group_name_H-M 'P 4 m m'
_symmetry_Int_Tables_number 99
_symmetry_space_group_name_Hall 'P 4 -2'
_cell_length_a 3.0156
_cell_length_b 3.0156
_cell_length_c 7.7230
_cell_angle_alpha 90.00
_cell_angle_beta 90.00
_cell_angle_gamma 90.00
loop_
_atom_site_label
_atom_site_fract_x
_atom_site_fract_y
_atom_site_fract_z
Mn1 0.0000 0.0000 0.0000
Be1 0.5000 0.5000 0.1913
Cl1 0.0000 0.0000 0.3508
Cl2 0.5000 0.5000 0.8084
```

A geometry-optimized Mn2BeCl structure. Source: the Alexandria database, functional PBE-GGA.

Results
DOS(E_F) (states/eV per cell): 2.75
VASP energy (eV per atom): -5.85
Energy above the most stable polymorph in this dataset (eV per atom): 0.000
Volume (Å³/atom): 16.10
Energy relative to the elements, uncorrected (eV/atom): 0.128

```
data_Mn2BeCl
_chemical_formula_sum 'Mn2 Be1 Cl1'
_symmetry_space_group_name_H-M 'P 4 m m'
_symmetry_Int_Tables_number 99
_symmetry_space_group_name_Hall 'P 4 -2'
_cell_length_a 2.9475
_cell_length_b 2.9475
_cell_length_c 7.4130
_cell_angle_alpha 90.00
_cell_angle_beta 90.00
_cell_angle_gamma 90.00
loop_
_atom_site_label
_atom_site_fract_x
_atom_site_fract_y
_atom_site_fract_z
Mn1 0.0000 0.0000 0.0000
Mn2 0.5000 0.5000 0.2104
Be1 0.0000 0.0000 0.3486
Cl1 0.5000 0.5000 0.7972
```

A geometry-optimized Mn2BeCl structure. Source: the Alexandria database, functional PBE-GGA.

Results
DOS(E_F) (states/eV per cell): 4.59
VASP energy (eV per atom): -5.52
Energy above the most stable polymorph in this dataset (eV per atom): 0.334
Volume (Å³/atom): 14.37
Energy relative to the elements, uncorrected (eV/atom): 0.462

```
data_Mn2BeCl
_chemical_formula_sum 'Mn4 Be2 Cl2'
_symmetry_space_group_name_H-M 'I m m m'
_symmetry_Int_Tables_number 71
_symmetry_space_group_name_Hall '-I 2 2'
_cell_length_a 2.9185
_cell_length_b 5.0192
_cell_length_c 7.8471
_cell_angle_alpha 90.00
_cell_angle_beta 90.00
_cell_angle_gamma 90.00
loop_
_atom_site_label
_atom_site_fract_x
_atom_site_fract_y
_atom_site_fract_z
Mn1 0.0000 0.0000 0.2430
Be1 0.0000 0.5000 0.5000
Cl1 0.0000 0.5000 0.0000
```

A geometry-optimized Mn2BeCl structure. Source: the Alexandria database, functional PBE-GGA.

Results
DOS(E_F) (states/eV per cell): 2.71
VASP energy (eV per atom): -5.45
Energy above the most stable polymorph in this dataset (eV per atom): 0.397
Volume (Å³/atom): 14.93
Energy relative to the elements, uncorrected (eV/atom): 0.525

```
data_Mn2BeCl
_chemical_formula_sum 'Mn2 Be1 Cl1'
_symmetry_space_group_name_H-M 'P m m m'
_symmetry_Int_Tables_number 47
_symmetry_space_group_name_Hall '-P 2 2'
_cell_length_a 2.9540
_cell_length_b 3.9581
_cell_length_c 5.1067
_cell_angle_alpha 90.00
_cell_angle_beta 90.00
_cell_angle_gamma 90.00
loop_
_atom_site_label
_atom_site_fract_x
_atom_site_fract_y
_atom_site_fract_z
Mn1 0.0000 0.0000 0.0000
Mn2 0.5000 0.0000 0.5000
Be1 0.0000 0.5000 0.5000
Cl1 0.5000 0.5000 0.0000
```

A geometry-optimized MnBeCl2 structure. Source: the Alexandria database, functional PBE-GGA.

Results
DOS(E_F) (states/eV per cell): 3.07
VASP energy (eV per atom): -4.30
Energy above the most stable polymorph in this dataset (eV per atom): 0.323
Volume (Å³/atom): 22.86
Energy relative to the elements, uncorrected (eV/atom): -0.148

```
data_MnBeCl2
_chemical_formula_sum 'Mn2 Be2 Cl4'
_symmetry_space_group_name_H-M 'C m m m'
_symmetry_Int_Tables_number 65
_symmetry_space_group_name_Hall '-C 2 2'
_cell_length_a 3.0097
_cell_length_b 6.0675
_cell_length_c 10.0166
_cell_angle_alpha 90.00
_cell_angle_beta 90.00
_cell_angle_gamma 90.00
loop_
_atom_site_label
_atom_site_fract_x
_atom_site_fract_y
_atom_site_fract_z
Mn1 0.0000 0.0000 0.0000
Be1 0.0000 0.0000 0.5000
Cl1 0.0000 0.5000 0.3544
```

A geometry-optimized Mn2BeCl structure. Source: the Alexandria database, functional PBE-GGA.

Results
DOS(E_F) (states/eV per cell): 4.61
VASP energy (eV per atom): -5.44
Energy above the most stable polymorph in this dataset (eV per atom): 0.410
Volume (Å³/atom): 14.14
Energy relative to the elements, uncorrected (eV/atom): 0.539

```
data_Mn2BeCl
_chemical_formula_sum 'Mn4 Be2 Cl2'
_symmetry_space_group_name_H-M 'I -4 m 2'
_symmetry_Int_Tables_number 119
_symmetry_space_group_name_Hall 'I -4 -2'
_cell_length_a 3.5160
_cell_length_b 3.5160
_cell_length_c 9.1508
_cell_angle_alpha 90.00
_cell_angle_beta 90.00
_cell_angle_gamma 90.00
loop_
_atom_site_label
_atom_site_fract_x
_atom_site_fract_y
_atom_site_fract_z
Mn1 0.0000 0.0000 0.0000
Mn2 0.0000 0.5000 0.2500
Be1 0.0000 0.5000 0.7500
Cl1 0.0000 0.0000 0.5000
```